Here is a geometry-optimized YScOs structure from the Alexandria database. Energies are from PBE-GGA.

a b c (Å): 7.3391 7.3391 4.1762
angles (deg): 90.00 90.00 120.00
Last column: nearest neighbours and their distance in Å.
Element x y z (fractional)
Y1 0.0000 0.5856 0.0000  5 Os 3.04, 6 Sc 3.23-3.38
Y2 0.4144 0.4144 0.0000  5 Os 3.04, 6 Sc 3.23-3.38
Y3 0.5856 0.0000 0.0000  5 Os 3.04, 6 Sc 3.23-3.38
Sc1 0.0000 0.2506 0.5000  4 Os 2.78-2.80
Sc2 0.2506 0.0000 0.5000  4 Os 2.78-2.80
Sc3 0.7494 0.7494 0.5000  4 Os 2.78-2.80
Os1 0.0000 0.0000 0.0000  6 Sc 2.78, 3 Y 3.04
Os2 0.3333 0.6667 0.5000  3 Sc 2.80, 6 Y 3.04
Os3 0.6667 0.3333 0.5000  3 Sc 2.80, 6 Y 3.04

Output
The calculation puts the total moment at 0.0 μB/cell. For the uncorrected energy, the calculation gives -8.344 eV per atom.